Compound: KRb2SnI6
Source: Alexandria
Functional: GGA-PBE
Structure: optimized geometry

```
KRb2SnI6
1.0
8.596 0.000 0.000
0.000 9.168 0.000
-8.476 0.000 12.360
K Rb Sn I
2 4 2 12
Direct
0.000 0.000 0.000
0.000 0.500 0.500
0.217 0.085 0.749
0.217 0.415 0.249
0.783 0.585 0.751
0.783 0.915 0.251
0.500 0.000 0.500
0.500 0.500 0.000
0.156 0.177 0.445
0.156 0.323 0.945
0.269 0.718 0.438
0.269 0.782 0.938
0.388 0.037 0.269
0.388 0.463 0.769
0.612 0.537 0.231
0.612 0.963 0.731
0.731 0.218 0.062
0.731 0.282 0.562
0.844 0.677 0.055
0.844 0.823 0.555
```

Values from the calculation:
The space-group type is P2_1/c, No. 14. For the total energy, the calculation gives -53.2 eV/cell. For the formation energy from raw total energies, the calculation gives -1026 meV per atom.

Compound: KRb2SnI6
Source: Alexandria
Functional: GGA-PBE
Structure: optimized geometry

```
KRb2SnI6
1.0
0.000 6.366 6.366
6.366 0.000 6.366
6.366 6.366 0.000
K Rb Sn I
1 2 1 6
Direct
0.000 0.000 0.000
0.250 0.250 0.250
0.750 0.750 0.750
0.500 0.500 0.500
0.264 0.264 0.736
0.264 0.736 0.264
0.264 0.736 0.736
0.736 0.264 0.264
0.736 0.264 0.736
0.736 0.736 0.264
```

Values from the calculation:
The space-group type is Fm-3m, No. 225. For the total energy, the calculation gives -26.0 eV/cell. For the formation energy from raw total energies, the calculation gives -971 meV per atom.

Compound: K3Rb3SnI8
Source: Alexandria
Functional: GGA-PBE
Structure: optimized geometry

```
K3Rb3SnI8
1.0
8.847 -5.101 0.000
8.847 5.101 0.000
-5.907 0.000 8.522
K Rb Sn I
3 3 1 8
Direct
0.000 0.000 0.000
0.000 0.500 0.000
0.500 0.000 0.000
0.000 0.500 0.500
0.500 0.000 0.500
0.500 0.500 0.500
0.500 0.500 0.000
0.246 0.246 0.238
0.270 0.723 0.216
0.277 0.277 0.783
0.277 0.730 0.784
0.723 0.270 0.216
0.723 0.723 0.217
0.730 0.277 0.784
0.754 0.754 0.762
```

Values from the calculation:
The space-group type is C2/m, No. 12. For the total energy, the calculation gives -42.1 eV/cell. For the formation energy from raw total energies, the calculation gives -1299 meV per atom.

Compound: K3Rb3SrI8
Source: Alexandria
Functional: GGA-PBE
Structure: optimized geometry

```
K3Rb3SrI8
1.0
5.112 2.951 8.572
-5.112 2.951 8.572
0.000 -5.903 8.572
K Rb Sr I
3 3 1 8
Direct
0.000 0.500 0.500
0.500 0.000 0.500
0.500 0.500 0.000
0.000 0.000 0.500
0.000 0.500 0.000
0.500 0.000 0.000
0.000 0.000 0.000
0.228 0.228 0.765
0.228 0.765 0.228
0.235 0.772 0.772
0.254 0.254 0.254
0.746 0.746 0.746
0.765 0.228 0.228
0.772 0.235 0.772
0.772 0.772 0.235
```

Values from the calculation:
The space-group type is R-3m, No. 166. For the total energy, the calculation gives -43.4 eV/cell. For the formation energy from raw total energies, the calculation gives -1540 meV per atom.

Volume (computed, Å³/cell): 974.0; 515.9; 769.2; 776.1